Entry 1:
Compound: SrAcPr2
Source: the Alexandria database
Functional: PBE
Structure: relaxed

a = 8.7320 Å, b = 8.7320 Å, c = 8.7320 Å
α = 90.00°, β = 90.00°, γ = 90.00°
Last column: nearest neighbours and their distance in Å.
Space group Fm-3m (No. 225)
One atom of each set of equivalent atoms:
Sr1 0.0000 0.0000 0.0000 x4  8 Pr 3.78
Ac1 0.0000 0.0000 0.5000 x4  8 Pr 3.78
Pr1 0.2500 0.2500 0.2500 x8  4 Ac 3.78, 4 Sr 3.78

Values from the calculation:
Size of the total moment   0.73 μB per formula unit
Fermi-level density of states   2.101 states/eV/atom
Energy   -14.63 eV/f.u.
ΔE_f   0.18 eV/atom

Entry 2:
Compound: SrAc14Pr
Source: the Alexandria database
Functional: PBE
Structure: relaxed

a = 11.2798 Å, b = 11.2981 Å, c = 11.2997 Å
α = 90.00°, β = 90.00°, γ = 90.00°
Last column: nearest neighbours and their distance in Å.
Space group Amm2 (No. 38)
One atom of each set of equivalent atoms:
Sr1 0.0000 0.0000 0.0000 x2  12 Ac 3.98-4.04
Ac1 0.0000 0.2485 0.7498 x4  2 Pr 3.98-4.01, 2 Sr 3.98-4.01, 8 Ac 3.99-4.00
Ac2 0.2491 0.0000 0.2542 x4  10 Ac 3.92-4.07, 1 Pr 3.95, 1 Sr 4.02
Ac3 0.2503 0.2455 0.4998 x8  10 Ac 3.92-4.07, 1 Pr 3.96, 1 Sr 4.03
Ac4 0.2519 0.0000 0.7454 x4  10 Ac 3.92-4.07, 1 Pr 3.97, 1 Sr 4.04
Ac5 0.5000 0.0000 0.9999 x2  12 Ac 3.98-4.03
Ac6 0.5000 0.0000 0.4995 x2  12 Ac 3.94-4.01
Ac7 0.5000 0.2488 0.2497 x4  12 Ac 3.98-4.01
Pr1 0.0000 0.0000 0.5000 x2  12 Ac 3.95-4.01

Values from the calculation:
Size of the total moment   0.00 μB per formula unit
Fermi-level density of states   1.778 states/eV/atom
Energy   -63.56 eV/f.u.
ΔE_f   0.03 eV/atom

Entry 3:
Compound: SrAc6Pr5
Source: the Alexandria database
Functional: PBE
Structure: relaxed

a = 12.7321 Å, b = 11.7444 Å, c = 6.7704 Å
α = 90.00°, β = 100.28°, γ = 90.00°
Last column: nearest neighbours and their distance in Å.
Space group C2/m (No. 12)
One atom of each set of equivalent atoms:
Sr1 0.0000 0.0000 0.0000 x2  6 Ac 3.92-3.93, 6 Pr 3.95-3.98
Ac1 0.2451 0.3294 0.7485 x8  5 Pr 3.75-3.92, 6 Ac 3.87-4.01, 1 Sr 3.93
Ac2 0.2480 0.5000 0.2590 x4  5 Pr 3.80-3.90, 6 Ac 3.87-3.99, 1 Sr 3.92
Pr1 0.0000 0.1730 0.5000 x4  6 Ac 3.75-3.91, 4 Pr 3.84-4.06, 2 Sr 3.95
Pr2 0.0000 0.3387 0.0000 x4  5 Pr 3.79-3.90, 6 Ac 3.81-3.92, 1 Sr 3.98
Pr3 0.0000 0.5000 0.5000 x2  6 Ac 3.80-3.84, 6 Pr 3.84-3.88

Values from the calculation:
Size of the total moment   0.00 μB per formula unit
Fermi-level density of states   1.492 states/eV/atom
Energy   -49.77 eV/f.u.
ΔE_f   0.04 eV/atom

Entry 4:
Compound: SrAc7Pr4
Source: the Alexandria database
Functional: PBE
Structure: relaxed

a = 6.7892 Å, b = 7.8420 Å, c = 10.3632 Å
α = 101.12°, β = 109.00°, γ = 90.03°
Last column: nearest neighbours and their distance in Å.
Space group P-1 (No. 2)
One atom of each set of equivalent atoms:
Sr1 0.0000 0.0000 0.0000 x1  10 Ac 3.92-4.01, 2 Pr 4.01
Ac1 0.0000 0.5000 0.0000 x1  6 Ac 3.87-3.95, 4 Pr 3.92-3.95, 2 Sr 3.92
Ac2 0.1708 0.9156 0.6587 x2  6 Pr 3.80-4.03, 5 Ac 3.83-4.02, 1 Sr 4.01
Ac3 0.3353 0.3385 0.3387 x2  5 Ac 3.80-3.99, 6 Pr 3.82-4.00, 1 Sr 3.97
Ac4 0.4981 0.7422 0.0023 x2  7 Ac 3.79-4.05, 3 Pr 3.89-3.91, 2 Sr 3.94-3.97
Pr1 0.1647 0.4153 0.6657 x2  9 Ac 3.85-3.94, 3 Pr 3.87-3.92
Pr2 0.3425 0.8287 0.3392 x2  8 Ac 3.80-4.03, 3 Pr 3.85-3.92, 1 Sr 4.01

Values from the calculation:
Size of the total moment   0.00 μB per formula unit
Fermi-level density of states   1.770 states/eV/atom
Energy   -48.99 eV/f.u.
ΔE_f   0.05 eV/atom